VASP calculation (GGA-PBE) on SmTh4N5 after structural relaxation.

## Properties
- density of states at the Fermi level (states/eV per cell) = 7.3
- energy relative to the elements, uncorrected (eV/atom) = -1.563
- ρ (g cm⁻³) = 11.1
- magnetization (Bohr magnetons per cell) = 0.00

a = 8.1487 Å, b = 8.1487 Å, c = 5.1638 Å
α = 90.00°, β = 90.00°, γ = 90.00°
Closest atoms and distances in Å follow each position.
Space group I4/m (No. 87)
Asymmetric unit:
Sm: 0.0000 0.0000 0.0000 x2  6 N 2.58-2.60
Th: 0.1007 0.2988 0.5000 x8  6 N 2.56-2.59
N: 0.0000 0.0000 0.5000 x2  4 Th 2.57, 2 Sm 2.58
N: 0.1014 0.3029 0.0000 x8  5 Th 2.56-2.59, 1 Sm 2.60